Entry from Alexandria via LeMat-Bulk: a relaxed structure of NaLi3Te2 (GGA-PBE). Values from VASP.

Geometry as Quantum ESPRESSO input:
```
&SYSTEM
  ibrav = 0, nat = 18, ntyp = 3
/
ATOMIC_SPECIES
Na 22.99 Na.upf
Li 6.94 Li.upf
Te 127.60 Te.upf
CELL_PARAMETERS angstrom
4.4307 0.0000 0.0000
-2.2153 8.6879 -2.2945
0.0000 0.6950 11.0605
ATOMIC_POSITIONS angstrom
Na 0.0000 3.2230 7.1578
Na 2.2153 6.1599 1.6081
Na 0.0000 0.0000 0.0000
Li 0.0000 1.0354 3.2205
Li 2.2153 8.3476 5.5455
Li 0.0000 4.0030 3.3923
Li 2.2154 5.3800 5.3737
Li 2.2153 2.2490 1.8046
Li 0.0000 7.1339 6.9614
Li 2.2154 0.3475 5.5302
Li 0.0000 5.6490 -1.1915
Li 2.2154 3.7339 9.9575
Te 0.0000 3.4316 0.6542
Te 2.2154 5.9514 8.1118
Te 0.0000 8.1422 0.1178
Te 2.2154 1.2408 8.6482
Te 0.0000 6.5804 4.2045
Te 2.2154 2.8025 4.5615
```

Values from the calculation:
Energy   -3.167 eV/atom

---

Entry from Alexandria via LeMat-Bulk: a relaxed structure of Cs2HgPd2 (GGA-PBE). Values from VASP.

Geometry as Quantum ESPRESSO input:
```
&SYSTEM
  ibrav = 0, nat = 10, ntyp = 3
/
ATOMIC_SPECIES
Cs 132.91 Cs.upf
Hg 200.59 Hg.upf
Pd 106.42 Pd.upf
CELL_PARAMETERS angstrom
6.9848 0.0000 0.0000
-3.4924 5.2599 0.3077
0.0000 -1.9329 8.6722
ATOMIC_POSITIONS angstrom
Cs 2.6328 1.2528 1.3264
Cs -0.8596 3.0407 3.3174
Cs 0.8596 2.0742 7.6534
Cs 4.3520 0.2863 5.6625
Hg 6.4543 -0.4832 2.1680
Hg 0.5305 -1.4497 6.5041
Pd 2.5107 2.8704 4.4970
Pd 6.0031 1.4231 0.1467
Pd 0.9817 0.4566 4.4828
Pd -2.5107 1.9039 8.8331
```

Values from the calculation:
Energy   -2.535 eV/atom
Energy relative to the elements   -0.056 eV/atom

---

Entry from Alexandria via LeMat-Bulk: a relaxed structure of KAgGe (GGA-PBE). Values from VASP.

Geometry as Quantum ESPRESSO input:
```
&SYSTEM
  ibrav = 0, nat = 6, ntyp = 3
/
ATOMIC_SPECIES
K 39.10 K.upf
Ag 107.87 Ag.upf
Ge 72.64 Ge.upf
CELL_PARAMETERS angstrom
-4.1016 -1.5307 -0.8568
2.6434 -4.7530 -4.2339
-0.5530 -6.2585 2.2617
ATOMIC_POSITIONS angstrom
K 0.9032 -3.0237 -2.1265
K -1.3542 -5.0368 0.7082
Ag -2.2231 -1.8169 -0.9111
Ag -2.3308 -7.7741 -1.3611
Ge -1.7316 -7.8799 -4.0717
Ge -0.1776 -6.4686 -2.4338
```

Values from the calculation:
Energy   -2.836 eV/atom
Energy relative to the elements   0.020 eV/atom

---

Entry from Alexandria via LeMat-Bulk: a relaxed structure of Tl2F13 (GGA-PBE). Values from VASP.

Geometry as Quantum ESPRESSO input:
```
&SYSTEM
  ibrav = 0, nat = 15, ntyp = 2
/
ATOMIC_SPECIES
Tl 204.38 Tl.upf
F 19.00 F.upf
CELL_PARAMETERS angstrom
-0.5164 -2.4651 -3.5841
6.0377 -4.5513 2.2384
-6.9861 -1.7417 2.6382
ATOMIC_POSITIONS angstrom
Tl -0.7091 -7.0868 0.0039
Tl -0.7557 -1.6712 1.2886
F -4.0066 -5.6544 1.4212
F 2.5418 -3.1036 -0.1287
F 0.0000 0.0000 0.0000
F -4.8885 -3.6513 -1.8576
F 3.4237 -5.1067 3.1500
F -2.1333 -5.5770 -0.5349
F 0.6685 -3.1811 1.8273
F 1.3537 -5.4236 0.0791
F -2.8185 -3.3345 1.2134
F -0.7108 -5.9879 1.9427
F -0.7540 -2.7701 -0.6502
F -3.6760 -3.3727 0.0288
F 2.2112 -5.3853 1.2637
```

Values from the calculation:
Energy   -2.778 eV/atom